# Ba2Rh3O8 | Alexandria | PBE | optimized geometry
# Uncorrected energy in eV/cell: -167.579
data_Ba2Rh3O8
_chemical_formula_sum 'Ba4 Rh6 O16'
_cell_length_a 12.1695
_cell_length_b 6.4182
_cell_length_c 5.4489
_cell_angle_alpha 90.00
_cell_angle_beta 110.11
_cell_angle_gamma 90.00
_space_group_name_H-M_alt 'C 1 2/m 1'
_space_group_IT_number 12
loop_
_space_group_symop_operation_xyz
'x,y,z'
'-x,-y,-z'
'-x,y,-z'
'x,-y,z'
'x+1/2,y+1/2,z'
'-x+1/2,-y+1/2,-z'
'-x+1/2,y+1/2,-z'
'x+1/2,-y+1/2,z'
loop_
_atom_site_label
_atom_site_fract_x
_atom_site_fract_y
_atom_site_fract_z
Ba1 0.2185 0.0000 0.1742
Rh1 0.0000 0.2457 0.5000
Rh2 0.0000 0.5000 0.0000
O1 0.0889 0.5000 0.4034
O2 0.0903 0.2851 0.8810
O3 0.0974 0.0000 0.4779